# 1
A plane-wave DFT calculation with GGA-PBE was carried out for a geometry-optimized LiZnNi3 structure.

Results
- Formation energy from the elements: 0.62 eV per atom
- Space-group type: Pm-3m (221)
- Distance to the lowest polymorph of the same formula: 446 meV/atom
- M_tot: 0.11 μB/cell

```
5
Lattice="-3.4642 -1.1731 -1.4433 -1.1059 -1.1542 3.5924 -1.4954 3.5710 0.6870" Properties=species:S:1:pos:R:3 pbc="T T T"
Ni -0.5529 -0.5771 1.7962
Ni -1.7321 -0.5865 -0.7217
Ni -0.7477 1.7855 0.3435
Li 0.0000 0.0000 0.0000
Zn -3.0328 0.6219 1.4180
```



# 2
A plane-wave DFT calculation with GGA-PBE was carried out for a geometry-optimized Al2VAu structure.

Results
- Formation energy from the elements: -0.31 eV per atom
- Space-group type: P4/mmm (123)
- M_tot: 0.27 μB/cell

```
4
Lattice="-0.1727 2.2320 2.9151 -3.3211 1.7659 -1.5488 -2.3411 -2.7068 1.9338" Properties=species:S:1:pos:R:3 pbc="T T T"
Au -2.9174 0.6455 1.6501
V -0.0863 1.1160 1.4575
Al -1.1705 -1.3534 0.9669
Al -1.6606 0.8829 -0.7744
```



# 3
A plane-wave DFT calculation with GGA-PBE was carried out for a geometry-optimized K2PaZnS4 structure.

Results
- E_form (uncorrected): -1.217 eV/atom
- Space-group type: P2/m (10)
- M_tot: 1.01 μB/cell

```
8
Lattice="-1.1885 -3.2576 1.8094 6.5778 -2.1876 0.3820 -1.6279 4.1535 6.4086" Properties=species:S:1:pos:R:3 pbc="T T T"
Zn 0.0000 0.0000 0.0000
K 2.4750 0.9829 3.3953
K -1.4082 0.4479 4.1090
S 0.5310 2.6595 5.1370
S 0.5403 -1.3582 2.1371
S 4.4189 -0.6936 1.6537
S 3.2211 0.0665 6.4629
Pa 2.6947 -2.7226 1.0957
```



# 4
A plane-wave DFT calculation with GGA-PBE was carried out for a geometry-optimized Sb2WCl structure.

Results
- E_form (uncorrected): 0.536 eV/atom
- Space-group type: P4mm (99)
- Distance to the lowest polymorph of the same formula: 368 meV/atom
- M_tot: 0.65 μB/cell

```
4
Lattice="-1.4520 -3.1957 -0.1856 1.6955 -0.9406 2.9319 -6.1017 2.5206 4.3373" Properties=species:S:1:pos:R:3 pbc="T T T"
Sb -0.4223 0.1745 0.3002
Sb -1.6900 -1.3197 2.6610
Cl -4.0445 -0.3471 4.3347
W -2.7522 1.1369 1.9564
```



# 5
A plane-wave DFT calculation with GGA-PBE was carried out for a geometry-optimized SrCd3 structure.

Results
- Formation energy from the elements: -0.07 eV per atom
- Space-group type: P-6m2 (187)
- M_tot: 0.00 μB/cell

```
4
Lattice="4.4095 0.0000 0.0000 -2.2048 3.8188 0.0000 0.0000 0.0000 7.7715" Properties=species:S:1:pos:R:3 pbc="T T T"
Sr 2.2048 1.2729 5.8286
Cd 0.0000 0.0000 0.3496
Cd 0.0000 0.0000 3.5362
Cd 2.2048 1.2729 1.9429
```



# 6
A plane-wave DFT calculation with GGA-PBE was carried out for a geometry-optimized NaTiGaRu2 structure.

Results
- Formation energy from the elements: 0.76 eV per atom
- Space-group type: P4/mmm (123)
- M_tot: 0.00 μB/cell

```
5
Lattice="4.5854 0.0000 0.0000 0.0000 4.5854 0.0000 0.0000 0.0000 5.2448" Properties=species:S:1:pos:R:3 pbc="T T T"
Na 2.2927 2.2927 2.6224
Ga 0.0000 0.0000 2.6224
Ru 2.2927 0.0000 0.0000
Ru 0.0000 2.2927 0.0000
Ti 0.0000 0.0000 0.0000
```



> Look up the M_tot of the fourth one.

0.65 μB/cell